The following is a DFT calculation (PBE) of a geometry-optimized BaLaZr2 structure. Values from VASP.

Cell and atoms, written as Quantum ESPRESSO input:
```
&SYSTEM
  ibrav = 0, nat = 4, ntyp = 3
/
ATOMIC_SPECIES
La 138.91 La.upf
Ba 137.33 Ba.upf
Zr 91.22 Zr.upf
ATOMIC_POSITIONS crystal
La 0.750 0.250 0.500
Ba 0.500 0.500 0.000
Zr 0.250 0.750 0.500
Zr 0.000 0.000 0.000
CELL_PARAMETERS angstrom
5.949 0.001 0.000
1.590 5.733 0.000
-3.769 -2.867 3.600
```

The calculation puts the theoretical density at 6.203 Mg/m³. The value obtained for the formation energy is 0.541 eV per atom. As for the symmetry: I-4m2 (119).